1.
Material: K3NpGe2O9
Method: DFT, PBE
State: optimized geometry

Results
The uncorrected formation energy comes out at -1.87 eV/atom. The calculation puts the size of the total moment at 0.1 μB/cell. The density of states at the Fermi level comes out at 0.198 states/eV/atom. The calculation puts the raw total energy at -6.546 eV/atom.

Unit cell a=5.6081 b=5.6081 c=6.9119 alpha=90.00 beta=90.00 gamma=120.00
Space group P-3m1 (No. 164)
One atom of each set of equivalent atoms:
K (0.0000, 0.0000, 0.0000) [1 per cell]
K (0.3333, 0.6667, 0.6746) [2 per cell]
Np (0.0000, 0.0000, 0.5000) [1 per cell]
Ge (0.3333, 0.6667, 0.1381) [2 per cell]
O (0.0000, 0.5000, 0.0000) [3 per cell]
O (0.1709, 0.3417, 0.3283) [6 per cell]

2.
Material: ErAlGa4
Method: DFT, PBE
State: optimized geometry

Results
The calculation puts the size of the total moment at 0.0 μB/cell. The density of states at the Fermi level comes out at 0.403 states/eV/atom. The value obtained for the distance to the lowest polymorph of the same formula is 130 meV per atom. The calculation puts the raw total energy at -3.580 eV/atom. The calculation puts the energy of formation from the pure elements at -0.178 eV per atom.

Unit cell a=5.651 b=8.793 c=5.038 alpha=90.00 beta=109.20 gamma=90.00
Space group C2/m (No. 12)
One atom of each set of equivalent atoms:
Er (0.000, 0.000, 0.000) [2 per cell]
Al (0.000, 0.500, 0.500) [2 per cell]
Ga (0.000, 0.187, 0.500) [4 per cell]
Ga (0.000, 0.345, 0.000) [4 per cell]

3.
Material: LiAg7Au12
Method: DFT, PBE
State: optimized geometry

Results
The calculation puts the size of the total moment at 0.0 μB/cell. The density of states at the Fermi level comes out at 0.306 states/eV/atom. The calculation puts the raw total energy at -3.052 eV/atom. The calculation puts the energy of formation from the pure elements at 0.008 eV per atom.

Unit cell a=10.0470 b=10.0470 c=12.9308 alpha=90.00 beta=90.00 gamma=120.00
Space group R-3 (No. 148, hexagonal axes)
One atom of each set of equivalent atoms:
Li (0.0000, 0.0000, 0.0000) [3 per cell]
Ag (0.0000, 0.0000, 0.5000) [3 per cell]
Ag (0.0474, 0.1857, 0.8034) [18 per cell]
Au (0.0372, 0.4620, 0.7068) [18 per cell]
Au (0.0496, 0.5896, 0.0885) [18 per cell]

4.
Material: Nd2NpNiSe5
Method: DFT, PBE
State: optimized geometry

Results
The uncorrected formation energy comes out at -1.38 eV/atom. The calculation puts the size of the total moment at 12.7 μB/cell. The density of states at the Fermi level comes out at 1.281 states/eV/atom. The calculation puts the raw total energy at -6.453 eV/atom.

Unit cell a=3.997 b=17.432 c=12.439 alpha=90.00 beta=90.00 gamma=90.00
Space group Cmc2_1 (No. 36)
One atom of each set of equivalent atoms:
Nd (0.000, 0.109, 0.000) [4 per cell]
Nd (0.000, 0.119, 0.347) [4 per cell]
Np (0.000, 0.176, 0.677) [4 per cell]
Ni (0.000, 0.444, 0.072) [4 per cell]
Se (0.000, 0.017, 0.665) [4 per cell]
Se (0.000, 0.305, 0.343) [4 per cell]
Se (0.000, 0.314, 0.012) [4 per cell]
Se (0.000, 0.342, 0.671) [4 per cell]
Se (0.000, 0.497, 0.400) [4 per cell]

5.
Material: La4Tl3Pt
Method: DFT, PBE
State: optimized geometry

Results
The calculation puts the size of the total moment at 0.0 μB/cell. The density of states at the Fermi level comes out at 1.006 states/eV/atom. The calculation puts the raw total energy at -4.699 eV/atom. The calculation puts the energy of formation from the pure elements at -0.593 eV per atom.

Unit cell a=3.724 b=3.724 c=17.081 alpha=90.00 beta=90.00 gamma=90.00
Space group P4/mmm (No. 123)
One atom of each set of equivalent atoms:
La (0.000, 0.000, 0.102) [2 per cell]
La (0.000, 0.000, 0.368) [2 per cell]
Tl (0.500, 0.500, 0.238) [2 per cell]
Tl (0.500, 0.500, 0.500) [1 per cell]
Pt (0.500, 0.500, 0.000) [1 per cell]

6.
Material: Ba2Cu
Method: DFT, PBE
State: optimized geometry

Results
The calculation puts the size of the total moment at 0.0 μB/cell. The density of states at the Fermi level comes out at 0.768 states/eV/atom. The calculation puts the raw total energy at -2.542 eV/atom. The calculation puts the energy of formation from the pure elements at 0.105 eV per atom.

Unit cell a=5.628 b=5.628 c=3.934 alpha=90.00 beta=90.00 gamma=90.00
Space group P4/mmm (No. 123)
One atom of each set of equivalent atoms:
Ba (0.000, 0.500, 0.000) [2 per cell]
Cu (0.000, 0.000, 0.500) [1 per cell]